w) # RbBa3Se, relaxed, DFT GGA-PBE
# V ... 285.1 Å³/cell
data_RbBa3Se
_chemical_formula_sum 'Rb1 Ba3 Se1'
_cell_length_a 6.5818
_cell_length_b 6.5818
_cell_length_c 6.5818
_cell_angle_alpha 90.00
_cell_angle_beta 90.00
_cell_angle_gamma 90.00
_space_group_name_H-M_alt 'P m -3 m'
_space_group_IT_number 221
_space_group_name_Hall '-P 4 2 3'
loop_
_atom_site_label
_atom_site_type_symbol
_atom_site_fract_x
_atom_site_fract_y
_atom_site_fract_z
Rb1 Rb 0.0000 0.0000 0.0000
Ba1 Ba 0.0000 0.0000 0.5000
Se1 Se 0.5000 0.5000 0.5000

x) # RbBa3Se, relaxed, DFT GGA-PBE
# V ... 291.6 Å³/cell
data_RbBa3Se
_chemical_formula_sum 'Rb1 Ba3 Se1'
_cell_length_a 6.6314
_cell_length_b 6.6314
_cell_length_c 6.6314
_cell_angle_alpha 90.00
_cell_angle_beta 90.00
_cell_angle_gamma 90.00
_space_group_name_H-M_alt 'P m -3 m'
_space_group_IT_number 221
_space_group_name_Hall '-P 4 2 3'
loop_
_atom_site_label
_atom_site_type_symbol
_atom_site_fract_x
_atom_site_fract_y
_atom_site_fract_z
Rb1 Rb 0.0000 0.0000 0.0000
Ba1 Ba 0.0000 0.5000 0.5000
Se1 Se 0.5000 0.5000 0.5000

Among the structures above, stability is greatest for x).